Computed, not measured: a geometry-optimized ZnMo2O4 structure at the PBE with a Hubbard U level of DFT.

POSCAR file:
```
ZnMo2O4
1.0
5.659 -3.160 0.000
5.659 3.160 0.000
-0.467 0.000 15.093
Zn Mo O
6 12 24
direct
0.000 0.000 0.000
0.005 0.005 0.240
0.326 0.326 0.577
0.657 0.657 0.913
0.670 0.670 0.284
0.989 0.989 0.618
0.005 0.504 0.121
0.151 0.151 0.788
0.155 0.652 0.791
0.328 0.328 0.955
0.328 0.831 0.456
0.338 0.338 0.336
0.504 0.005 0.121
0.508 0.508 0.121
0.652 0.155 0.791
0.658 0.658 0.669
0.831 0.328 0.456
0.831 0.831 0.453
0.005 0.480 0.868
0.148 0.148 0.541
0.161 0.675 0.532
0.174 0.174 0.039
0.177 0.648 0.040
0.302 0.812 0.713
0.316 0.316 0.713
0.347 0.347 0.196
0.357 0.837 0.199
0.480 0.005 0.868
0.483 0.483 0.872
0.490 0.981 0.379
0.519 0.519 0.366
0.648 0.177 0.040
0.668 0.668 0.045
0.673 0.673 0.530
0.675 0.161 0.532
0.812 0.302 0.713
0.828 0.828 0.204
0.837 0.357 0.199
0.840 0.840 0.702
0.981 0.490 0.379
0.992 0.992 0.865
0.994 0.994 0.378
```

Symmetry: Cm, No. 8
Relative energy among the computed polymorphs (meV/atom): 83.1
E (eV per atom): -6.5071